Entry 1:
The following is a DFT calculation (PBE) of an optimized crystal structure of Sm2Dy3ErTm6.

```
data_Sm2Dy3ErTm6
_chemical_formula_sum 'Sm4 Dy6 Er2 Tm12'
_space_group_name_H-M_alt 'C 1 2/m 1'
_space_group_IT_number 12
_cell_length_a 6.1101
_cell_length_b 10.5728
_cell_length_c 11.6514
_cell_angle_alpha 90.00
_cell_angle_beta 100.03
_cell_angle_gamma 90.00
loop_
_space_group_symop_operation_xyz
'x,y,z'
'-x,-y,-z'
'-x,y,-z'
'x,-y,z'
'x+1/2,y+1/2,z'
'-x+1/2,-y+1/2,-z'
'-x+1/2,y+1/2,-z'
'x+1/2,-y+1/2,z'
loop_
_atom_site_label
_atom_site_type_symbol
_atom_site_fract_x
_atom_site_fract_y
_atom_site_fract_z
_atom_site_occupancy
Sm1 Sm 0.0000 0.1666 0.0000 1
Dy1 Dy 0.0000 0.0000 0.5000 1
Dy2 Dy 0.0000 0.3334 0.5000 1
Er1 Er 0.0000 0.5000 0.0000 1
Tm1 Tm 0.2487 0.5000 0.7486 1
Tm2 Tm 0.2495 0.1664 0.7488 1
```

Summary:
Energy of formation ... 0.022 eV/atom
Spin magnetization ... 0.00 μB per cell

---

Entry 2:
The following is a DFT calculation (PBE) of an optimized crystal structure of Sm2Dy2ErTm2.

```
data_Sm2Dy2ErTm2
_chemical_formula_sum 'Sm6 Dy6 Er3 Tm6'
_space_group_name_H-M_alt 'R -3 m'
_space_group_IT_number 166
_space_group_name_Hall '-R 3 2"'
_cell_length_a 5.6437
_cell_length_b 5.6437
_cell_length_c 24.3417
_cell_angle_alpha 90.00
_cell_angle_beta 90.00
_cell_angle_gamma 120.00
loop_
_atom_site_label
_atom_site_type_symbol
_atom_site_fract_x
_atom_site_fract_y
_atom_site_fract_z
_atom_site_occupancy
Sm1 Sm 0.0000 0.0000 0.1390 1
Dy1 Dy 0.0000 0.0000 0.2853 1
Er1 Er 0.0000 0.0000 0.0000 1
Tm1 Tm 0.0000 0.0000 0.4278 1
```

Summary:
Energy of formation ... 0.140 eV/atom
Spin magnetization ... 0.03 μB per cell

---

Entry 3:
The following is a DFT calculation (PBE) of an optimized crystal structure of SmDy6Er3Tm2.

```
data_SmDy6Er3Tm2
_chemical_formula_sum 'Sm2 Dy12 Er6 Tm4'
_space_group_name_H-M_alt 'C 1 2/m 1'
_space_group_IT_number 12
_cell_length_a 6.1144
_cell_length_b 10.5785
_cell_length_c 11.6962
_cell_angle_alpha 90.00
_cell_angle_beta 99.98
_cell_angle_gamma 90.00
loop_
_space_group_symop_operation_xyz
'x,y,z'
'-x,-y,-z'
'-x,y,-z'
'x,-y,z'
'x+1/2,y+1/2,z'
'-x+1/2,-y+1/2,-z'
'-x+1/2,y+1/2,-z'
'x+1/2,-y+1/2,z'
loop_
_atom_site_label
_atom_site_type_symbol
_atom_site_fract_x
_atom_site_fract_y
_atom_site_fract_z
_atom_site_occupancy
Sm1 Sm 0.0000 0.0000 0.0000 1
Dy1 Dy 0.2487 0.3331 0.7492 1
Dy2 Dy 0.2496 0.0000 0.7492 1
Er1 Er 0.0000 0.1670 0.5000 1
Er2 Er 0.0000 0.5000 0.5000 1
Tm1 Tm 0.0000 0.3334 0.0000 1
```

Summary:
Energy of formation ... 0.019 eV/atom
Spin magnetization ... 0.00 μB per cell

---

Entry 4:
The following is a DFT calculation (PBE) of an optimized crystal structure of Sm2Dy2ErTm4.

```
data_Sm2Dy2ErTm4
_chemical_formula_sum 'Sm4 Dy4 Er2 Tm8'
_space_group_name_H-M_alt 'C 1 2/m 1'
_space_group_IT_number 12
_cell_length_a 18.4934
_cell_length_b 3.5613
_cell_length_c 9.4678
_cell_angle_alpha 90.00
_cell_angle_beta 115.75
_cell_angle_gamma 90.00
loop_
_space_group_symop_operation_xyz
'x,y,z'
'-x,-y,-z'
'-x,y,-z'
'x,-y,z'
'x+1/2,y+1/2,z'
'-x+1/2,-y+1/2,-z'
'-x+1/2,y+1/2,-z'
'x+1/2,-y+1/2,z'
loop_
_atom_site_label
_atom_site_type_symbol
_atom_site_fract_x
_atom_site_fract_y
_atom_site_fract_z
_atom_site_occupancy
Sm1 Sm 0.1656 0.0000 0.0004 1
Dy1 Dy 0.1472 0.5000 0.6628 1
Er1 Er 0.0000 0.5000 0.0000 1
Tm1 Tm 0.0194 0.0000 0.3345 1
Tm2 Tm 0.1852 0.5000 0.3361 1
```

Summary:
Energy of formation ... -0.002 eV/atom
Spin magnetization ... 0.00 μB per cell

---

Entry 5:
The following is a DFT calculation (PBE) of an optimized crystal structure of Sm6Dy3ErTm2.

```
data_Sm6Dy3ErTm2
_chemical_formula_sum 'Sm12 Dy6 Er2 Tm4'
_space_group_name_H-M_alt 'C 1 2/m 1'
_space_group_IT_number 12
_cell_length_a 6.1989
_cell_length_b 10.7330
_cell_length_c 11.7658
_cell_angle_alpha 90.00
_cell_angle_beta 100.08
_cell_angle_gamma 90.00
loop_
_space_group_symop_operation_xyz
'x,y,z'
'-x,-y,-z'
'-x,y,-z'
'x,-y,z'
'x+1/2,y+1/2,z'
'-x+1/2,-y+1/2,-z'
'-x+1/2,y+1/2,-z'
'x+1/2,-y+1/2,z'
loop_
_atom_site_label
_atom_site_type_symbol
_atom_site_fract_x
_atom_site_fract_y
_atom_site_fract_z
_atom_site_occupancy
Sm1 Sm 0.2497 0.0000 0.2486 1
Sm2 Sm 0.2500 0.1668 0.7514 1
Dy1 Dy 0.0000 0.0000 0.5000 1
Dy2 Dy 0.0000 0.3332 0.5000 1
Er1 Er 0.0000 0.5000 0.0000 1
Tm1 Tm 0.0000 0.1667 0.0000 1
```

Summary:
Energy of formation ... 0.015 eV/atom
Spin magnetization ... 0.00 μB per cell

---

Entry 6:
The following is a DFT calculation (PBE) of an optimized crystal structure of Sm2DyEr2Tm2.

```
data_Sm2DyEr2Tm2
_chemical_formula_sum 'Sm4 Dy2 Er4 Tm4'
_space_group_name_H-M_alt 'C 1 2/m 1'
_space_group_IT_number 12
_cell_length_a 11.6047
_cell_length_b 3.4916
_cell_length_c 11.7076
_cell_angle_alpha 90.00
_cell_angle_beta 109.21
_cell_angle_gamma 90.00
loop_
_space_group_symop_operation_xyz
'x,y,z'
'-x,-y,-z'
'-x,y,-z'
'x,-y,z'
'x+1/2,y+1/2,z'
'-x+1/2,-y+1/2,-z'
'-x+1/2,y+1/2,-z'
'x+1/2,-y+1/2,z'
loop_
_atom_site_label
_atom_site_type_symbol
_atom_site_fract_x
_atom_site_fract_y
_atom_site_fract_z
_atom_site_occupancy
Sm1 Sm 0.1711 0.0000 0.0844 1
Dy1 Dy 0.0000 0.5000 0.5000 1
Er1 Er 0.0504 0.0000 0.7697 1
Tm1 Tm 0.2259 0.5000 0.3633 1
```

Summary:
Energy of formation ... 0.088 eV/atom
Spin magnetization ... 0.00 μB per cell

---

Entry 7:
The following is a DFT calculation (PBE) of an optimized crystal structure of SmDy3Er2Tm6.

```
data_SmDy3Er2Tm6
_chemical_formula_sum 'Sm2 Dy6 Er4 Tm12'
_space_group_name_H-M_alt 'C 1 2/m 1'
_space_group_IT_number 12
_cell_length_a 6.0906
_cell_length_b 10.5366
_cell_length_c 11.6328
_cell_angle_alpha 90.00
_cell_angle_beta 100.01
_cell_angle_gamma 90.00
loop_
_space_group_symop_operation_xyz
'x,y,z'
'-x,-y,-z'
'-x,y,-z'
'x,-y,z'
'x+1/2,y+1/2,z'
'-x+1/2,-y+1/2,-z'
'-x+1/2,y+1/2,-z'
'x+1/2,-y+1/2,z'
loop_
_atom_site_label
_atom_site_type_symbol
_atom_site_fract_x
_atom_site_fract_y
_atom_site_fract_z
_atom_site_occupancy
Sm1 Sm 0.0000 0.0000 0.0000 1
Dy1 Dy 0.0000 0.1669 0.5000 1
Dy2 Dy 0.0000 0.5000 0.5000 1
Er1 Er 0.0000 0.3332 0.0000 1
Tm1 Tm 0.2494 0.3331 0.7497 1
Tm2 Tm 0.2501 0.0000 0.7498 1
```

Summary:
Energy of formation ... 0.023 eV/atom
Spin magnetization ... 0.00 μB per cell

---

Entry 8:
The following is a DFT calculation (PBE) of an optimized crystal structure of Sm4Dy2ErTm.

```
data_Sm4Dy2ErTm
_chemical_formula_sum 'Sm4 Dy2 Er1 Tm1'
_space_group_name_H-M_alt 'P 1 2/m 1'
_space_group_IT_number 10
_cell_length_a 6.1907
_cell_length_b 3.5795
_cell_length_c 11.8008
_cell_angle_alpha 90.00
_cell_angle_beta 100.16
_cell_angle_gamma 90.00
loop_
_space_group_symop_operation_xyz
'x,y,z'
'-x,-y,-z'
'-x,y,-z'
'x,-y,z'
loop_
_atom_site_label
_atom_site_type_symbol
_atom_site_fract_x
_atom_site_fract_y
_atom_site_fract_z
_atom_site_occupancy
Sm1 Sm 0.2497 0.0000 0.2490 1
Sm2 Sm 0.2497 0.5000 0.7497 1
Dy1 Dy 0.5000 0.0000 0.0000 1
Dy2 Dy 0.5000 0.5000 0.5000 1
Er1 Er 0.0000 0.0000 0.5000 1
Tm1 Tm 0.0000 0.5000 0.0000 1
```

Summary:
Energy of formation ... 0.018 eV/atom
Spin magnetization ... 0.00 μB per cell

---

Entry 9:
The following is a DFT calculation (PBE) of an optimized crystal structure of Sm6Dy2ErTm3.

```
data_Sm6Dy2ErTm3
_chemical_formula_sum 'Sm12 Dy4 Er2 Tm6'
_space_group_name_H-M_alt 'C 1 2/m 1'
_space_group_IT_number 12
_cell_length_a 6.1925
_cell_length_b 10.7215
_cell_length_c 11.7391
_cell_angle_alpha 90.00
_cell_angle_beta 100.08
_cell_angle_gamma 90.00
loop_
_space_group_symop_operation_xyz
'x,y,z'
'-x,-y,-z'
'-x,y,-z'
'x,-y,z'
'x+1/2,y+1/2,z'
'-x+1/2,-y+1/2,-z'
'-x+1/2,y+1/2,-z'
'x+1/2,-y+1/2,z'
loop_
_atom_site_label
_atom_site_type_symbol
_atom_site_fract_x
_atom_site_fract_y
_atom_site_fract_z
_atom_site_occupancy
Sm1 Sm 0.2491 0.0000 0.2486 1
Sm2 Sm 0.2494 0.3334 0.2487 1
Dy1 Dy 0.0000 0.3333 0.5000 1
Er1 Er 0.0000 0.0000 0.5000 1
Tm1 Tm 0.0000 0.1666 0.0000 1
Tm2 Tm 0.0000 0.5000 0.0000 1
```

Summary:
Energy of formation ... 0.016 eV/atom
Spin magnetization ... 0.00 μB per cell

---

Entry 10:
The following is a DFT calculation (PBE) of an optimized crystal structure of SmDy6Er2Tm3.

```
data_SmDy6Er2Tm3
_chemical_formula_sum 'Sm2 Dy12 Er4 Tm6'
_space_group_name_H-M_alt 'C 1 2/m 1'
_space_group_IT_number 12
_cell_length_a 6.1131
_cell_length_b 10.5764
_cell_length_c 11.6885
_cell_angle_alpha 90.00
_cell_angle_beta 99.99
_cell_angle_gamma 90.00
loop_
_space_group_symop_operation_xyz
'x,y,z'
'-x,-y,-z'
'-x,y,-z'
'x,-y,z'
'x+1/2,y+1/2,z'
'-x+1/2,-y+1/2,-z'
'-x+1/2,y+1/2,-z'
'x+1/2,-y+1/2,z'
loop_
_atom_site_label
_atom_site_type_symbol
_atom_site_fract_x
_atom_site_fract_y
_atom_site_fract_z
_atom_site_occupancy
Sm1 Sm 0.0000 0.0000 0.0000 1
Dy1 Dy 0.2488 0.3331 0.7482 1
Dy2 Dy 0.2497 0.0000 0.7484 1
Er1 Er 0.0000 0.3333 0.0000 1
Tm1 Tm 0.0000 0.1669 0.5000 1
Tm2 Tm 0.0000 0.5000 0.5000 1
```

Summary:
Energy of formation ... 0.020 eV/atom
Spin magnetization ... 0.00 μB per cell

---

no.,V (Å³/cell)
1,741.2
2,671.4
3,745.1
4,561.6
5,770.7
6,448.0
7,735.1
8,257.4
9,767.4
10,744.2